VASP calculation (GGA-PBE) on an optimized crystal structure of Nd2InSi2Pd5.

CIF file:
```
data_Nd2InSi2Pd5
_cell_length_a 3.267
_cell_length_b 10.695
_cell_length_c 10.695
_cell_angle_alpha 90.00
_cell_angle_beta 90.00
_cell_angle_gamma 90.00
_symmetry_space_group_name_H-M 'P 1'
_symmetry_Int_Tables_number 1
_symmetry_space_group_name_Hall 'P 1'
loop_
_atom_site_label
_atom_site_fract_x
_atom_site_fract_y
_atom_site_fract_z
_atom_site_occupancy
Nd1 0.000 0.322 0.822 1
Pd1 0.500 0.786 0.942 1
Si1 0.000 0.124 0.624 1
In1 0.000 0.500 0.500 1
Nd2 0.000 0.822 0.678 1
Nd3 0.000 0.678 0.178 1
In2 0.000 0.000 0.000 1
Pd2 0.500 0.286 0.558 1
Pd3 0.500 0.442 0.286 1
Pd4 0.500 0.000 0.500 1
Pd5 0.500 0.058 0.786 1
Si2 0.000 0.624 0.876 1
Nd4 0.000 0.178 0.322 1
Si3 0.000 0.876 0.376 1
Pd6 0.500 0.942 0.214 1
Pd7 0.500 0.214 0.058 1
Pd8 0.500 0.714 0.442 1
Pd9 0.500 0.500 0.000 1
Si4 0.000 0.376 0.124 1
Pd10 0.500 0.558 0.714 1
```

Output
Formation energy (no corrections) (eV/atom): -0.701
Crystal system: tetragonal
Total magnetic moment (μB per formula unit): 0.00
SG: P4/mbm